Here is CsScC2O6 after structural relaxation from Alexandria. Energies are from PBE.

Computed properties:
- Formation energy from raw total energies: -2.083 eV per atom
- Volume: 150.0 Å³/f.u.
- Total DFT energy (no corrections): -152.43 eV per cell

Lattice parameters (Å, degrees): 6.5248 6.5248 7.6829 105.60 105.60 93.95
Closest atoms and distances in Å follow each position.
Positions (direct):
O 0.3363 0.9781 0.7221  1 C 1.30
O 0.0219 0.6637 0.7779  1 C 1.30
O 0.6637 0.0219 0.2779  1 C 1.30
O 0.6814 0.6830 0.7767  1 C 1.29
O 0.4362 0.7532 0.0417  1 C 1.29
O 0.2468 0.5638 0.4583  1 C 1.29
O 0.6830 0.6814 0.2767  1 C 1.29
O 0.9781 0.3363 0.2221  1 C 1.30
O 0.5638 0.2468 0.9583  1 C 1.29
O 0.7532 0.4362 0.5417  1 C 1.29
O 0.3186 0.3170 0.2233  1 C 1.29
O 0.3170 0.3186 0.7233  1 C 1.29
C 0.1821 0.4056 0.3030  3 O 1.29-1.30
C 0.5944 0.8179 0.1970  3 O 1.29-1.30
C 0.8179 0.5944 0.6970  3 O 1.29-1.30
C 0.4056 0.1821 0.8030  3 O 1.29-1.30
Cs 0.8888 0.1112 0.7500  6 O 3.03-3.15, 4 C 3.27-3.33
Cs 0.1112 0.8888 0.2500  6 O 3.03-3.15, 4 C 3.27-3.33
Sc 0.6559 0.3441 0.2500  6 O 2.06-2.17
Sc 0.3441 0.6559 0.7500  6 O 2.06-2.17



Here is YPuAu2 after structural relaxation from Alexandria. Energies are from PBE.

Computed properties:
- Volume: 95.0 Å³/f.u.
- Energy of formation: -630 meV/atom
- Excess energy over the best structure of this formula in the dataset: 0 meV/atom
- Total DFT energy (no corrections): -29.87 eV per cell

Lattice parameters (Å, degrees): 3.5872 3.5872 7.3801 90.00 90.00 90.00
Closest atoms and distances in Å follow each position.
Positions (direct):
Pu 0.5000 0.5000 0.5000  8 Au 3.20, 4 Pu 3.59
Au 0.0000 0.0000 0.2348  4 Y 3.07, 4 Pu 3.20
Au 0.0000 0.0000 0.7652  4 Y 3.07, 4 Pu 3.20
Y 0.5000 0.5000 0.0000  8 Au 3.07



Here is TbYErAl after structural relaxation from Alexandria. Energies are from PBE.

Computed properties:
- Volume: 110.7 Å³/f.u.
- Energy of formation: -197 meV/atom
- Excess energy over the best structure of this formula in the dataset: 0 meV/atom
- Total DFT energy (no corrections): -20.19 eV per cell

Lattice parameters (Å, degrees): 3.5098 3.5098 8.9877 90.00 90.00 90.00
Closest atoms and distances in Å follow each position.
Positions (direct):
Tb 0.0000 0.0000 0.0749  4 Tb 3.51, 4 Er 3.55, 4 Y 3.61
Al 0.0000 0.0000 0.5686  4 Er 3.12, 4 Y 3.14
Y 0.5000 0.5000 0.7835  4 Al 3.14, 4 Y 3.51
Er 0.5000 0.5000 0.3578  4 Al 3.12



Here is AcLa6ErTm2 after structural relaxation from Alexandria. Energies are from PBE.

Computed properties:
- Volume: 360.8 Å³/f.u.
- Energy of formation: 111 meV/atom
- Total DFT energy (no corrections): -92.14 eV per cell

Lattice parameters (Å, degrees): 9.8720 9.0902 9.0902 117.02 93.56 93.56
Closest atoms and distances in Å follow each position.
Positions (direct):
La 0.8796 0.2947 0.5131  4 La 3.32-3.70, 3 Tm 3.35-3.53, 2 Er 3.47-3.68
La 0.1868 0.5504 0.0006  2 La 3.34-3.66, 1 Er 3.49, 1 Tm 3.56, 1 Ac 3.72
La 0.8132 0.4496 0.9994  2 La 3.34-3.66, 1 Er 3.49, 1 Tm 3.56, 1 Ac 3.72
La 0.4474 0.2425 0.8856  7 La 3.54-3.94, 1 Tm 3.64, 2 Ac 3.77-3.89
La 0.3796 0.5131 0.2947  4 La 3.32-3.70, 3 Tm 3.35-3.53, 2 Er 3.47-3.68
La 0.9474 0.8856 0.2425  7 La 3.54-3.94, 1 Tm 3.64, 2 Ac 3.77-3.89
La 0.6204 0.4869 0.7053  4 La 3.32-3.70, 3 Tm 3.35-3.53, 2 Er 3.47-3.68
La 0.5526 0.7575 0.1144  7 La 3.54-3.94, 1 Tm 3.64, 2 Ac 3.77-3.89
La 0.0526 0.1144 0.7575  7 La 3.54-3.94, 1 Tm 3.64, 2 Ac 3.77-3.89
La 0.3132 0.9994 0.4496  2 La 3.34-3.66, 1 Er 3.49, 1 Tm 3.56, 1 Ac 3.72
La 0.1204 0.7053 0.4869  4 La 3.32-3.70, 3 Tm 3.35-3.53, 2 Er 3.47-3.68
La 0.6868 0.0006 0.5504  2 La 3.34-3.66, 1 Er 3.49, 1 Tm 3.56, 1 Ac 3.72
Tm 0.5478 0.2063 0.3064  6 La 3.35-3.74, 2 Ac 3.54-3.60, 1 Er 3.57
Tm 0.0478 0.3064 0.2063  6 La 3.35-3.74, 2 Ac 3.54-3.60, 1 Er 3.57
Tm 0.4522 0.7937 0.6936  6 La 3.35-3.74, 2 Ac 3.54-3.60, 1 Er 3.57
Tm 0.9522 0.6936 0.7937  6 La 3.35-3.74, 2 Ac 3.54-3.60, 1 Er 3.57
Ac 0.2500 0.9710 0.0290  4 Tm 3.54-3.60, 6 La 3.72-3.89
Ac 0.7500 0.0290 0.9710  4 Tm 3.54-3.60, 6 La 3.72-3.89
Er 0.7500 0.5872 0.4128  6 La 3.47-3.68, 2 Tm 3.57
Er 0.2500 0.4128 0.5872  6 La 3.47-3.68, 2 Tm 3.57



Here is Tm8PdRu2 after structural relaxation from Alexandria. Energies are from PBE.

Computed properties:
- Volume: 269.0 Å³/f.u.
- Energy of formation: -381 meV/atom
- Excess energy over the best structure of this formula in the dataset: 0 meV/atom
- Total DFT energy (no corrections): -63.71 eV per cell

Lattice parameters (Å, degrees): 4.7845 6.8451 8.9538 107.17 105.50 90.00
Closest atoms and distances in Å follow each position.
Positions (direct):
Pd 0.5000 0.0000 0.0000  8 Tm 2.96-3.10
Tm 0.2038 0.3152 0.4075  3 Ru 2.76-3.09
Tm 0.3293 0.0358 0.6586  3 Ru 2.82-3.05, 1 Pd 3.03
Tm 0.4027 0.5365 0.8053  2 Ru 3.03, 1 Pd 3.10, 6 Tm 3.27-3.36
Tm 0.7962 0.6848 0.5925  3 Ru 2.76-3.09
Tm 0.6707 0.9642 0.3414  3 Ru 2.82-3.05, 1 Pd 3.03
Tm 0.0325 0.7836 0.0650  1 Ru 2.86, 2 Pd 2.96
Tm 0.9675 0.2164 0.9350  1 Ru 2.86, 2 Pd 2.96
Tm 0.5973 0.4635 0.1947  2 Ru 3.03, 1 Pd 3.10, 6 Tm 3.27-3.36
Ru 0.8149 0.2981 0.6297  9 Tm 2.76-3.09
Ru 0.1851 0.7019 0.3703  9 Tm 2.76-3.09



Here is Ac4Tl5Cd after structural relaxation from Alexandria. Energies are from PBE.

Computed properties:
- Volume: 338.5 Å³/f.u.
- Energy of formation: -315 meV/atom
- Total DFT energy (no corrections): -32.33 eV per cell

Lattice parameters (Å, degrees): 5.6210 6.9787 9.3228 103.26 107.55 90.00
Closest atoms and distances in Å follow each position.
Positions (direct):
Tl 0.0979 0.3364 0.1957  5 Ac 3.26-3.57, 2 Tl 3.63
Tl 0.5000 0.5000 0.0000  2 Cd 3.49, 4 Tl 3.63, 6 Ac 3.73-3.86
Tl 0.9021 0.6636 0.8043  5 Ac 3.26-3.57, 2 Tl 3.63
Tl 0.7157 0.8362 0.4314  7 Ac 3.49-3.65, 3 Tl 3.64-3.79
Tl 0.2843 0.1638 0.5686  7 Ac 3.49-3.65, 3 Tl 3.64-3.79
Ac 0.9068 0.1773 0.8135  6 Tl 3.31-3.65, 2 Cd 3.63
Ac 0.3101 0.6756 0.6201  6 Tl 3.26-3.59, 1 Cd 3.58
Ac 0.0932 0.8227 0.1865  6 Tl 3.31-3.65, 2 Cd 3.63
Ac 0.6899 0.3244 0.3799  6 Tl 3.26-3.59, 1 Cd 3.58
Cd 0.5000 0.0000 0.0000  6 Tl 3.49-3.80, 6 Ac 3.58-3.63



Here is Y2CoPt after structural relaxation from Alexandria. Energies are from PBE.

Computed properties:
- Volume: 88.7 Å³/f.u.
- Energy of formation: -425 meV/atom
- Total DFT energy (no corrections): -27.77 eV per cell

Lattice parameters (Å, degrees): 3.9046 3.9163 5.7981 90.00 90.00 90.00
Closest atoms and distances in Å follow each position.
Positions (direct):
Pt 0.5000 0.5000 0.8191  6 Y 2.83-2.96
Y 0.0000 0.0000 0.9265  4 Pt 2.83, 2 Co 2.89-2.91
Y 0.5000 0.5000 0.3298  4 Co 2.82, 2 Pt 2.84-2.96
Co 0.0000 0.0000 0.4246  6 Y 2.82-2.91



Here is Al2CrHPd after structural relaxation from Alexandria. Energies are from PBE.

Computed properties:
- Volume: 58.4 Å³/f.u.
- Total DFT energy (no corrections): -27.02 eV per cell

Lattice parameters (Å, degrees): 4.1264 4.1264 3.4284 90.00 90.00 90.00
Closest atoms and distances in Å follow each position.
Positions (direct):
H 0.0000 0.0000 0.0000  2 Cr 1.71
Pd 0.5000 0.5000 0.5000  8 Al 2.68, 4 Cr 2.92
Cr 0.0000 0.0000 0.5000  2 H 1.71
Al 0.0000 0.5000 0.0000  2 H 2.06
Al 0.5000 0.0000 0.0000  2 H 2.06



Here is H2Pd3Pt after structural relaxation from Alexandria. Energies are from PBE.

Computed properties:
- Volume: 68.4 Å³/f.u.
- Excess energy over the best structure of this formula in the dataset: 35 meV/atom
- Total DFT energy (no corrections): -56.76 eV per cell

Lattice parameters (Å, degrees): 2.8739 6.5884 7.5537 84.44 79.03 77.40
Closest atoms and distances in Å follow each position.
Positions (direct):
H 0.4033 0.6610 0.5325  2 Pd 1.82, 2 Pt 1.85
H 0.9016 0.3383 0.8585  1 Pd 1.86, 2 Pt 1.94
H 0.5967 0.3390 0.4675  2 Pd 1.82, 2 Pt 1.85
H 0.0984 0.6617 0.1415  1 Pd 1.86, 2 Pt 1.94
Pt 0.5666 0.5652 0.3016  4 H 1.85-1.94
Pt 0.4334 0.4348 0.6984  4 H 1.85-1.94
Pd 0.9360 0.9434 0.1846  1 H 1.86
Pd 0.1970 0.1733 0.4328  2 H 1.82
Pd 0.8030 0.8267 0.5672  2 H 1.82
Pd 0.3148 0.3063 0.0641  2 H 2.10
Pd 0.6852 0.6937 0.9359  2 H 2.10
Pd 0.0640 0.0566 0.8154  1 H 1.86



Here is CuPd2Pt after structural relaxation from Alexandria. Energies are from PBE.

Computed properties:
- Volume: 59.7 Å³/f.u.
- Energy of formation: 9 meV/atom
- Excess energy over the best structure of this formula in the dataset: 109 meV/atom
- Total DFT energy (no corrections): -20.49 eV per cell

Lattice parameters (Å, degrees): 4.3878 4.3878 4.3878 60.00 60.00 60.00
Closest atoms and distances in Å follow each position.
Positions (direct):
Cu 0.0000 0.0000 0.0000  8 Pd 2.69
Pd 0.2500 0.2500 0.2500  4 Pt 2.69, 4 Cu 2.69
Pd 0.7500 0.7500 0.7500  4 Pt 2.69, 4 Cu 2.69
Pt 0.5000 0.5000 0.5000  8 Pd 2.69



Here is HfTe2Pd after structural relaxation from Alexandria. Energies are from PBE.

Computed properties:
- Formation energy from raw total energies: -0.466 eV per atom
- Volume: 96.2 Å³/f.u.
- Excess energy over the best structure of this formula in the dataset: 276 meV/atom
- Total DFT energy (no corrections): -23.29 eV per cell

Lattice parameters (Å, degrees): 3.9805 3.9805 7.3778 74.35 74.35 60.00
Closest atoms and distances in Å follow each position.
Positions (direct):
Pd 0.6586 0.6586 0.0241  6 Te 2.75-2.98
Te 0.0818 0.0818 0.7546  3 Pd 2.98, 3 Hf 2.99
Te 0.2539 0.2539 0.2384  3 Pd 2.75, 3 Hf 2.87
Hf 0.5057 0.5057 0.4829  6 Te 2.87-2.99